The following is a DFT calculation (PBE) of a relaxed structure of DyEr3Pt2.

Cell: 6.866 13.590 7.022 Å, 90.00 90.00 90.00°
Space group Ibam (No. 72)
Symmetry-distinct sites (fractional):
Dy 0.000 0.000 0.000 [4 per cell]
Er 0.000 0.237 0.250 [8 per cell]
Er 0.000 0.500 0.250 [4 per cell]
Pt 0.210 0.360 0.000 [8 per cell]

Its calculated total energy is -5.9344 eV/atom. For the energy relative to the lowest polymorph listed for this composition, the calculation gives 10.5 kJ/mol of atoms. As for the density of states at the Fermi level: 22.7 states/eV/cell.